[1]
VASP calculation (PBE) on a relaxed IrCl crystal.

Unit cell a=5.908 b=6.914 c=18.550 alpha=90.00 beta=90.00 gamma=90.00
Space group Fddd (No. 70, origin choice 2)
One atom of each set of equivalent atoms:
Ir: 0.125 0.125 0.279 x16
Cl: 0.125 0.330 0.625 x16

Computed properties:
Magnetic moment (μB/f.u.): 0.00
ΔE to the lowest computed polymorph (meV/atom): 806
Formation energy from raw total energies (eV/atom): 0.940

[2]
VASP calculation (PBE) on a relaxed ScAl crystal.

Unit cell a=3.1719 b=3.1719 c=9.4742 alpha=90.00 beta=90.00 gamma=120.00
Space group P-3m1 (No. 164)
One atom of each set of equivalent atoms:
Sc: 0.3333 0.6667 0.1416 x2
Al: 0.3333 0.6667 0.6114 x2

Computed properties:
Magnetic moment (μB/f.u.): 0.00
DFT formation energy (eV per formula unit): -0.26